(1)
The following is a SCAN calculation of a PBEsol-optimized structure of Co2PClO4, from Alexandria via LeMat-Bulk.

As for the final energy: -11.500 eV per atom. The calculation puts the volume at 801.5 Å³/cell.

It has space group C2/c (No. 15), with a = 13.1587 Å, b = 9.0587 Å, c = 9.1730 Å, α = 90.00°, β = 132.86° and γ = 90.00°. The distinct sites, in fractional coordinates, are Co at (0.0000, 0.0000, 0.0000), Co at (0.0000, 0.2602, 0.2500), Co at (0.1727, 0.2554, 0.1704), P at (0.2414, 0.0034, 0.4925), Cl at (0.0847, 0.2519, 0.5772), O at (0.1314, 0.0940, 0.2927), O at (0.1520, 0.0770, 0.0220), O at (0.1573, 0.3883, 0.3314) and O at (0.1763, 0.3999, 0.0223).

***

(2)
The following is a SCAN calculation of a PBEsol-optimized structure of Li2TaRu, from Alexandria via LeMat-Bulk.

The calculation puts the density of states at the Fermi level at 8.8 states/eV/cell. Its energy above the lowest structure with this stoichiometry is 339 meV/atom. The calculation puts the volume at 204.6 Å³/cell. The formation energy is 2.04 eV/f.u.

It has space group Fm-3m (No. 225), with a = 5.8923 Å, b = 5.8923 Å, c = 5.8923 Å, α = 90.00°, β = 90.00° and γ = 90.00°. The distinct sites, in fractional coordinates, are Li at (0.2500, 0.2500, 0.2500), Ta at (0.0000, 0.0000, 0.0000) and Ru at (0.0000, 0.0000, 0.5000).

***

(3)
The following is a SCAN calculation of a PBEsol-optimized structure of KPbSe2Br, from Alexandria via LeMat-Bulk.

The calculation puts the density of states at the Fermi level at 3.2 states/eV/cell. Its energy above the lowest structure with this stoichiometry is 0 meV/atom. The calculation puts the volume at 170.8 Å³/cell.

It has space group P4/mmm (No. 123), with a = 5.3886 Å, b = 5.3886 Å, c = 5.8826 Å, α = 90.00°, β = 90.00° and γ = 90.00°. The distinct sites, in fractional coordinates, are K at (0.0000, 0.0000, 0.0000), Pb at (0.5000, 0.5000, 0.5000), Se at (0.0000, 0.5000, 0.5000) and Br at (0.5000, 0.5000, 0.0000).